<w>
Below is a relaxed structure of Tm7Te2Au2, with properties calculated at the PBE level.

Cell lengths 4.0050, 15.3685, 9.6550 Å; angles 90.00, 90.00, 90.00 degrees
Last column: nearest neighbours and their distance in Å.
Space group Imm2 (No. 44)
One atom of each set of equivalent atoms:
Tm  0.0000  0.0000  0.0000 [2 per cell]  3 Te 3.23-3.30
Tm  0.0000  0.1282  0.5867 [4 per cell]  2 Au 2.89, 3 Te 3.08-3.17
Tm  0.0000  0.3165  0.3775 [4 per cell]  3 Au 2.88-3.17, 1 Te 3.12
Tm  0.0000  0.3595  0.7381 [4 per cell]  2 Au 2.94, 2 Te 3.11
Te  0.0000  0.0000  0.3414 [2 per cell]  7 Tm 3.08-3.30
Te  0.0000  0.5000  0.2380 [2 per cell]  8 Tm 3.12-3.23
Au  0.0000  0.2360  0.0754 [4 per cell]  7 Tm 2.88-3.17

Properties
Its size of the total moment is 0.000 μB/atom. The mass density is 10.236 Mg/m³.

---

<x>
Below is a relaxed structure of Tm7Te2Au2, with properties calculated at the PBE level.

Cell lengths 10.5273, 7.9254, 7.5607 Å; angles 90.00, 90.07, 90.00 degrees
Last column: nearest neighbours and their distance in Å.
Space group C2/m (No. 12)
One atom of each set of equivalent atoms:
Tm  0.0000  0.0000  0.0000 [2 per cell]  2 Te 3.00
Tm  0.0000  0.5000  0.2785 [4 per cell]  2 Au 2.91, 2 Te 3.09
Tm  0.2498  0.2496  0.2886 [8 per cell]  2 Te 2.97, 2 Au 3.10, 3 Tm 3.20-3.30
Te  0.2153  0.5000  0.0003 [4 per cell]  7 Tm 2.97-3.09
Au  0.0000  0.2004  0.5000 [4 per cell]  6 Tm 2.91-3.10, 1 Au 3.18

Properties
Its size of the total moment is 0.000 μB/atom. The mass density is 9.643 Mg/m³.

---

Best to worst by energy: <w>, <x>.

---

<w>
Below is a relaxed structure of UTeAu, with properties calculated at the PBE level.

Cell lengths 4.7671, 4.7671, 3.9628 Å; angles 90.00, 90.00, 120.00 degrees
Last column: nearest neighbours and their distance in Å.
Space group P3m1 (No. 156)
One atom of each set of equivalent atoms:
U  0.0000  0.0000  0.0000 [1 per cell]  3 Au 2.93, 3 Te 3.25
Te  0.6667  0.3333  0.5622 [1 per cell]  3 Au 3.01, 3 U 3.25
Au  0.3333  0.6667  0.2570 [1 per cell]  3 U 2.93, 3 Te 3.01

Properties
Its size of the total moment is 0.987 μB/atom. The mass density is 11.979 Mg/m³.

---

<x>
Below is a relaxed structure of UTeAu, with properties calculated at the PBE level.

Cell lengths 3.8302, 3.8302, 9.9723 Å; angles 90.00, 90.00, 90.00 degrees
Last column: nearest neighbours and their distance in Å.
Space group I4mm (No. 107)
One atom of each set of equivalent atoms:
U  0.0000  0.0000  0.0000 [2 per cell]  5 Au 3.12-3.43, 5 Te 3.21-3.27
Te  0.0000  0.0000  0.3277 [2 per cell]  5 Au 3.20-3.28, 5 U 3.21-3.27
Au  0.0000  0.0000  0.6563 [2 per cell]  5 U 3.12-3.43, 5 Te 3.20-3.28

Properties
Its size of the total moment is 0.996 μB/atom. The mass density is 12.771 Mg/m³.

---

Best to worst by energy: <x>, <w>.

---

<w>
Below is a relaxed structure of VTe2Au2, with properties calculated at the PBE level.

Cell lengths 7.5562, 7.5562, 3.9382 Å; angles 90.00, 90.00, 90.00 degrees
Last column: nearest neighbours and their distance in Å.
Space group P4/mbm (No. 127)
One atom of each set of equivalent atoms:
V  0.0000  0.0000  0.0000 [2 per cell]  4 Au 2.97
Te  0.1846  0.3154  0.5000 [4 per cell]  6 Au 2.80-3.11
Au  0.1295  0.6295  0.0000 [4 per cell]  1 Au 2.77, 2 Te 2.80, 2 V 2.97

Properties
Its size of the total moment is 0.590 μB/atom. The mass density is 10.340 Mg/m³.

---

<x>
Below is a relaxed structure of VTe2Au2, with properties calculated at the PBE level.

Cell lengths 4.4505, 4.4505, 12.9036 Å; angles 90.00, 90.00, 90.00 degrees
Last column: nearest neighbours and their distance in Å.
Space group I4/mmm (No. 139)
One atom of each set of equivalent atoms:
V  0.0000  0.0000  0.0000 [2 per cell]  8 Au 3.40
Te  0.0000  0.5000  0.2500 [4 per cell]  4 Au 2.95, 4 Te 3.15
Au  0.0000  0.0000  0.3996 [4 per cell]  1 Au 2.59

Properties
Its size of the total moment is 0.694 μB/atom. The mass density is 9.097 Mg/m³.

---

Best to worst by energy: <w>, <x>.